Entry 1:
DyLuBi2: optimized geometry, PBE.

Cell: 4.442 4.442 7.686 Å, 73.21 73.21 60.00°
Fractional positions:
Lu (0.000, 0.000, 0.000)
Bi (0.252, 0.252, 0.245)
Dy (0.500, 0.500, 0.500)
Bi (0.748, 0.748, 0.755)

Summary:
VASP energy: -20.05 eV per cell
Magnetization: 0.0 μB/f.u.
Energy of formation: -0.792 eV/atom

***

Entry 2:
NdCuSe: optimized geometry, PBE.

Cell: 4.127 4.127 8.634 Å, 102.54 102.54 95.11°
Fractional positions:
Nd (0.132, 0.132, 0.263)
Cu (0.697, 0.303, 0.000)
Nd (0.868, 0.868, 0.737)
Cu (0.303, 0.697, 0.000)
Se (0.676, 0.676, 0.352)
Se (0.324, 0.324, 0.648)

Summary:
Uncorrected formation energy: -92.27 kJ/mol of atoms
VASP energy: -30.43 eV per cell
Magnetization: 0.0 μB/f.u.

***

Entry 3:
LaTeSI2: optimized geometry, PBE.

Cell: 6.232 6.232 6.425 Å, 90.00 90.00 90.00°
Site moments in Bohr magnetons follow the coordinates.
Fractional positions:
Te (0.000, 0.000, 0.500)  0.51
S (0.500, 0.500, 0.500)  1.10
La (0.000, 0.000, 0.000)  0.00
I (0.000, 0.500, 0.000)  0.05
I (0.500, 0.000, 0.000)  0.05

Summary:
Uncorrected formation energy: -23.26 kJ/mol of atoms
VASP energy: -16.50 eV per cell
Magnetization: 3.0 μB/f.u.
Energy above the most stable polymorph in this dataset: 0.74 kcal/mol of atoms

***

Entry 4:
In2GeOs: optimized geometry, PBE.

Cell: 3.091 3.092 8.889 Å, 90.00 90.11 90.00°
Fractional positions:
Os (0.026, 0.000, 0.788)
In (0.528, 0.500, 0.999)
In (0.521, 0.500, 0.329)
Ge (0.525, 0.500, 0.639)

Summary:
VASP energy: -20.75 eV per cell
Magnetization: 0.0 μB/f.u.
Energy of formation: 0.144 eV/atom

***

Entry 5:
Hf4Mo2Pt: optimized geometry, PBE.

Cell: 5.672 5.672 5.672 Å, 108.19 110.12 110.12°
Fractional positions:
Hf (0.000, 0.000, 0.500)
Hf (0.500, 0.500, 0.500)
Pt (0.000, 0.000, 0.000)
Hf (0.000, 0.500, 0.000)
Hf (0.500, 0.000, 0.000)
Mo (0.500, 0.500, 0.000)
Mo (0.500, 0.000, 0.500)

Summary:
VASP energy: -69.03 eV per cell
Magnetization: 0.0 μB/f.u.
Energy of formation: -0.217 eV/atom

***

Entry 6:
CaLaY2Sc: optimized geometry, PBE.

Cell: 5.636 5.697 5.636 Å, 90.00 90.00 90.00°
Fractional positions:
Sc (0.500, 0.500, 0.500)
Y (0.500, 0.000, 0.000)
Y (0.000, 0.000, 0.500)
Ca (0.000, 0.000, 0.000)
La (0.000, 0.500, 0.000)

Summary:
VASP energy: -21.47 eV per cell
Magnetization: 0.0 μB/f.u.
Energy of formation: 0.945 eV/atom

***

Entry 7:
HoCd3Pd: optimized geometry, PBE.

Cell: 4.151 9.381 11.643 Å, 90.00 90.00 90.00°
Fractional positions:
Cd (0.250, 0.827, 0.204)
Cd (0.750, 0.953, 0.590)
Cd (0.750, 0.173, 0.796)
Cd (0.750, 0.563, 0.295)
Cd (0.750, 0.063, 0.205)
Pd (0.750, 0.339, 0.131)
Ho (0.750, 0.812, 0.991)
Pd (0.750, 0.839, 0.369)
Cd (0.750, 0.673, 0.704)
Cd (0.250, 0.547, 0.090)
Cd (0.250, 0.047, 0.410)
Cd (0.250, 0.937, 0.795)
Ho (0.250, 0.688, 0.491)
Ho (0.750, 0.312, 0.509)
Cd (0.250, 0.327, 0.296)
Pd (0.250, 0.161, 0.631)
Cd (0.750, 0.453, 0.910)
Cd (0.250, 0.437, 0.705)
Ho (0.250, 0.188, 0.009)
Pd (0.250, 0.661, 0.869)

Summary:
VASP energy: -57.33 eV per cell
Magnetization: 0.0 μB/f.u.
Energy above the most stable polymorph in this dataset: 0.00 kcal/mol of atoms
Energy of formation: -0.363 eV/atom

***

Entry 8:
NaW3Cl: optimized geometry, PBE.

Cell: 4.474 4.474 4.474 Å, 90.00 90.00 90.00°
Fractional positions:
W (0.000, 0.500, 0.000)
Na (0.500, 0.500, 0.500)
W (0.500, 0.000, 0.000)
W (0.000, 0.000, 0.500)
Cl (0.000, 0.000, 0.000)

Summary:
Uncorrected formation energy: 165.65 kJ/mol of atoms
VASP energy: -33.44 eV per cell
Magnetization: 0.0 μB/f.u.
Energy above the most stable polymorph in this dataset: 0.00 kcal/mol of atoms

***

Entry 9:
Ca2Hg3Pd8: optimized geometry, PBE.

Cell: 5.660 7.334 7.794 Å, 118.07 104.69 90.00°
Fractional positions:
Pd (0.591, 0.663, 0.684)
Pd (0.779, 0.313, 0.626)
Ca (0.283, 0.344, 0.687)
Hg (0.500, 0.000, 0.000)
Pd (0.058, 0.858, 0.716)
Pd (0.221, 0.687, 0.374)
Pd (0.409, 0.979, 0.316)
Pd (0.409, 0.337, 0.316)
Pd (0.942, 0.142, 0.284)
Pd (0.591, 0.021, 0.684)
Hg (0.000, 0.283, 0.000)
Ca (0.717, 0.656, 0.313)
Hg (0.000, 0.717, 0.000)

Summary:
VASP energy: -49.15 eV per cell
Magnetization: 0.0 μB/f.u.
Energy of formation: -0.207 eV/atom

***

Entry 10:
KSb3I: optimized geometry, PBE.

Cell: 5.931 5.931 5.931 Å, 90.00 90.00 90.00°
Fractional positions:
Sb (0.000, 0.500, 0.000)
K (0.500, 0.500, 0.500)
Sb (0.000, 0.000, 0.500)
I (0.000, 0.000, 0.000)
Sb (0.500, 0.000, 0.000)

Summary:
Uncorrected formation energy: 58.41 kJ/mol of atoms
VASP energy: -11.99 eV per cell
Magnetization: 0.0 μB/f.u.
Energy above the most stable polymorph in this dataset: 0.00 kcal/mol of atoms

***

Entry 11:
Sr2AlPN4: optimized geometry, PBE.

Cell: 4.635 5.899 9.981 Å, 84.77 76.57 66.87°
Fractional positions:
Al (0.000, 0.000, 0.000)
N (0.325, 0.815, 0.090)
N (0.425, 0.685, 0.410)
Sr (0.821, 0.000, 0.358)
N (0.520, 0.315, 0.590)
Al (0.750, 0.500, 0.500)
Sr (0.571, 0.500, 0.858)
N (0.860, 0.815, 0.910)
N (0.585, 0.185, 0.090)
P (0.500, 0.000, 0.000)
P (0.250, 0.500, 0.500)
N (0.165, 0.315, 0.410)
Sr (0.179, 0.000, 0.642)
N (0.890, 0.685, 0.590)
Sr (0.929, 0.500, 0.142)
N (0.230, 0.185, 0.910)

Summary:
Uncorrected formation energy: -79.91 kJ/mol of atoms
VASP energy: -104.89 eV per cell
Magnetization: 0.0 μB/f.u.

***

Entry 12:
Li2Cu2PdAu5: optimized geometry, PBE.

Cell: 4.051 9.204 9.204 Å, 90.00 90.00 90.00°
Fractional positions:
Li (0.000, 0.174, 0.326)
Li (0.000, 0.674, 0.174)
Pd (0.000, 0.500, 0.500)
Cu (0.000, 0.877, 0.377)
Cu (0.000, 0.623, 0.877)
Au (0.500, 0.079, 0.799)
Au (0.500, 0.500, 0.000)
Cu (0.000, 0.123, 0.623)
Cu (0.000, 0.377, 0.123)
Au (0.500, 0.579, 0.701)
Au (0.500, 0.799, 0.921)
Au (0.500, 0.299, 0.579)
Li (0.000, 0.326, 0.826)
Au (0.500, 0.421, 0.299)
Au (0.500, 0.921, 0.201)
Au (0.500, 0.701, 0.421)
Au (0.500, 0.000, 0.500)
Li (0.000, 0.826, 0.674)
Au (0.500, 0.201, 0.079)
Pd (0.000, 0.000, 0.000)

Summary:
VASP energy: -71.27 eV per cell
Magnetization: 0.0 μB/f.u.
Energy of formation: -0.203 eV/atom